This record from Alexandria describes Pt2PbCBr after structural relaxation. The functional is PBE.

Fermi-level density of states: 6.3 states/eV/cell
Calculated density: 8.6 Mg/m³
Calculated volume: 26.70 Å³ per atom
Formation energy without anion corrections: 2.10 eV/atom

```
Pt2PbCBr
1.0
4.7067 0.0000 0.0000
0.0000 6.0271 0.0000
0.0000 0.0000 4.7067
Pt Pb C Br
2 1 1 1
Direct
0.5000 0.0000 0.0000
0.0000 0.0000 0.5000
0.0000 0.5000 0.0000
0.5000 0.5000 0.5000
0.0000 0.0000 0.0000
```


This record from Alexandria describes NiMo3 after structural relaxation. The functional is PBE.

Fermi-level density of states: 4.0 states/eV/cell
Calculated density: 9.7 Mg/m³
Calculated volume: 14.83 Å³ per atom
Energy of formation: 0.811 eV/f.u.

```
NiMo3
1.0
4.8793 -0.1110 0.0000
-1.7350 4.5618 0.0000
0.0000 0.0000 2.6885
Mo Ni
3 1
Direct
0.5000 0.0000 0.5000
0.0000 0.0000 0.0000
0.0000 0.5000 0.5000
0.5000 0.5000 0.0000
```


This record from Alexandria describes Ca2TaAg after structural relaxation. The functional is PBE.

E above lowest polymorph: 130 meV/atom
Fermi-level density of states: 4.1 states/eV/cell
Calculated density: 6.0 Mg/m³
Calculated volume: 25.56 Å³ per atom
Energy of formation: 1.895 eV/f.u.

```
Ca2TaAg
1.0
-6.0432 0.9604 -2.4635
-3.9702 -4.9932 -1.6783
3.4529 3.4233 4.4576
Ca Ta Ag
2 1 1
Direct
0.7358 0.2358 0.5000
0.0308 0.0308 0.0000
0.4663 0.4663 0.0000
0.2670 0.7670 0.5000
```


This record from Alexandria describes YSiTe2 after structural relaxation. The functional is PBE.

Fermi-level density of states: 1.7 states/eV/cell
Calculated density: 6.1 Mg/m³
Calculated volume: 25.21 Å³ per atom
Formation energy without anion corrections: -0.48 eV/atom

```
YSiTe2
1.0
5.7601 0.0121 -0.0041
1.8654 5.4496 0.0041
-3.2742 -3.4827 3.2138
Te Si Y
2 1 1
Direct
0.5471 0.5471 0.0000
0.9529 0.9529 0.0000
0.7500 0.2500 0.5000
0.2500 0.7500 0.5000
```


This record from Alexandria describes Ti2SnPd after structural relaxation. The functional is PBE.

Fermi-level density of states: 3.0 states/eV/cell
Calculated density: 7.5 Mg/m³
Calculated volume: 17.76 Å³ per atom
Energy of formation: -1.207 eV/f.u.

```
Ti2SnPd
1.0
-4.0578 -0.6500 -2.1728
-3.4320 -2.3045 2.1261
-3.7923 2.2772 1.4285
Sn Ti Pd
1 2 1
Direct
0.4673 0.4673 0.5980
0.2173 0.2173 0.3480
0.9673 0.9673 0.0981
0.7172 0.7172 0.8484
```


This record from Alexandria describes CrRu3Pt after structural relaxation. The functional is PBE.

E above lowest polymorph: 0 meV/atom
Fermi-level density of states: 7.5 states/eV/cell
Calculated density: 10.9 Mg/m³
Calculated volume: 16.73 Å³ per atom
Energy of formation: 6.200 eV/f.u.

```
CrRu3Pt
1.0
4.3738 0.0000 0.0000
0.0000 4.3738 0.0000
0.0000 0.0000 4.3738
Ru Cr Pt
3 1 1
Direct
0.0000 0.0000 0.5000
0.0000 0.5000 0.0000
0.5000 0.0000 0.0000
0.0000 0.0000 0.0000
0.5000 0.5000 0.5000
```


This record from Alexandria describes LiY2TmHg4 after structural relaxation. The functional is PBE.

Fermi-level density of states: 6.1 states/eV/cell
Calculated density: 9.9 Mg/m³
Calculated volume: 24.23 Å³ per atom
Energy of formation: -3.765 eV/f.u.

```
LiY2TmHg4
1.0
-3.0895 -1.1232 3.9495
2.0025 -0.9914 4.6273
-0.8375 7.5246 4.8277
Hg Y Tm Li
4 2 1 1
Direct
0.3755 0.3755 0.8736
0.8749 0.8749 0.3753
0.1251 0.1251 0.6247
0.6245 0.6245 0.1264
0.2457 0.2457 0.2628
0.7543 0.7543 0.7372
0.0000 0.0000 0.0000
0.5000 0.5000 0.5000
```


This record from Alexandria describes ScHS2N after structural relaxation. The functional is PBE.

E above lowest polymorph: 358 meV/atom
Fermi-level density of states: 4.6 states/eV/cell
Calculated density: 1.9 Mg/m³
Calculated volume: 21.64 Å³ per atom

```
ScHS2N
1.0
-0.5467 4.8234 -1.1479
-3.8252 -1.1451 -2.9897
-2.7502 0.4818 3.3343
S N H Sc
2 1 1 1
Direct
0.5000 0.0000 0.0000
0.0000 0.5000 0.0000
0.0000 0.0000 0.5000
0.5000 0.5000 0.5000
0.0000 0.0000 0.0000
```


This record from Alexandria describes Ac2SiP after structural relaxation. The functional is PBE.

E above lowest polymorph: 155 meV/atom
Fermi-level density of states: 2.6 states/eV/cell
Calculated density: 6.6 Mg/m³
Calculated volume: 32.34 Å³ per atom
Formation energy without anion corrections: -0.86 eV/atom

```
Ac2SiP
1.0
-1.6453 -3.9939 -0.8723
0.9476 -3.3983 2.6407
-6.4112 -0.8552 4.8770
Ac Si P
2 1 1
Direct
0.2453 0.2453 0.2640
0.7547 0.7547 0.7360
0.0000 0.0000 0.0000
0.5000 0.5000 0.5000
```


This record from Alexandria describes LiTb3N after structural relaxation. The functional is PBE.

Fermi-level density of states: 6.6 states/eV/cell
Calculated density: 7.1 Mg/m³
Calculated volume: 23.22 Å³ per atom
Formation energy without anion corrections: -0.54 eV/atom

```
LiTb3N
1.0
-1.0129 4.7713 0.0794
-2.7512 -0.5176 -3.9951
-3.8991 -0.8743 2.7983
Tb N Li
3 1 1
Direct
0.0000 0.0000 0.5000
0.5000 0.0000 0.0000
0.0000 0.5000 0.0000
0.0000 0.0000 0.0000
0.5000 0.5000 0.5000
```


This record from Alexandria describes CaLuAg after structural relaxation. The functional is PBE.

Fermi-level density of states: 2.5 states/eV/cell
Calculated density: 6.2 Mg/m³
Calculated volume: 28.83 Å³ per atom
Energy of formation: 0.091 eV/f.u.

```
CaLuAg
1.0
-3.8162 -0.2528 0.8615
-0.7659 -2.7106 -4.1882
1.1327 -2.3211 4.3363
Ag Ca Lu
1 1 1
Direct
0.2023 0.3333 0.6667
0.6531 0.6667 0.3333
0.1446 0.0000 0.0000
```


This record from Alexandria describes TaHI2 after structural relaxation. The functional is PBE.

Calculated density: 5.7 Mg/m³
Calculated volume: 31.62 Å³ per atom
Electronic total energy: -37.9 eV/cell

```
TaHI2
1.0
4.0364 0.0000 0.0000
-0.0784 7.9956 0.0000
-1.9608 -2.1870 7.8375
H I Ta
2 4 2
Direct
0.7627 0.6508 0.6828
0.6519 0.2230 0.4719
0.1335 0.4790 0.4238
0.7689 0.0434 0.7202
0.3749 0.4822 0.9209
0.0270 0.9618 0.2243
0.1839 0.1810 0.5395
0.7471 0.4225 0.6600
```